# Si2Au (PBE-GGA, optimized geometry)
# formation energy without anion corrections = 0.3823 eV/atom
# crystal system = orthorhombic
data_Si2Au
_symmetry_space_group_name_H-M 'I m m m'
_symmetry_Int_Tables_number 71
_symmetry_space_group_name_Hall '-I 2 2'
_cell_length_a 2.693
_cell_length_b 3.431
_cell_length_c 10.675
_cell_angle_alpha 90.00
_cell_angle_beta 90.00
_cell_angle_gamma 90.00
loop_
_atom_site_label
_atom_site_type_symbol
_atom_site_fract_x
_atom_site_fract_y
_atom_site_fract_z
Si1 Si 0.000 0.000 0.178
Au1 Au 0.000 0.000 0.500

# NaIn5O8 (PBE-GGA, optimized geometry)
# formation energy without anion corrections = -1.5379 eV/atom
# crystal system = cubic
data_NaIn5O8
_symmetry_space_group_name_H-M 'F -4 3 m'
_symmetry_Int_Tables_number 216
_symmetry_space_group_name_Hall 'F -4 2 3'
_cell_length_a 9.279
_cell_length_b 9.279
_cell_length_c 9.279
_cell_angle_alpha 90.00
_cell_angle_beta 90.00
_cell_angle_gamma 90.00
loop_
_atom_site_label
_atom_site_type_symbol
_atom_site_fract_x
_atom_site_fract_y
_atom_site_fract_z
Na1 Na 0.000 0.000 0.000
In1 In 0.129 0.129 0.371
In2 In 0.250 0.250 0.750
O1 O 0.116 0.116 0.616
O2 O 0.138 0.138 0.138

# TlAgBi2 (PBE-GGA, optimized geometry)
# crystal system = trigonal
# ΔE_f = 124 meV/atom
data_TlAgBi2
_symmetry_space_group_name_H-M 'R -3 m'
_symmetry_Int_Tables_number 166
_symmetry_space_group_name_Hall '-R 3 2"'
_cell_length_a 3.4628
_cell_length_b 3.4628
_cell_length_c 34.0600
_cell_angle_alpha 90.00
_cell_angle_beta 90.00
_cell_angle_gamma 120.00
loop_
_atom_site_label
_atom_site_type_symbol
_atom_site_fract_x
_atom_site_fract_y
_atom_site_fract_z
Tl1 Tl 0.0000 0.0000 0.0000
Ag1 Ag 0.0000 0.0000 0.5000
Bi1 Bi 0.0000 0.0000 0.0974

# Hf6RuO (PBE-GGA, optimized geometry)
# formation energy without anion corrections = -0.8183 eV/atom
# crystal system = triclinic
data_Hf6RuO
_symmetry_space_group_name_H-M 'P -1'
_symmetry_Int_Tables_number 2
_symmetry_space_group_name_Hall '-P 1'
_cell_length_a 5.001
_cell_length_b 5.680
_cell_length_c 5.825
_cell_angle_alpha 97.43
_cell_angle_beta 114.11
_cell_angle_gamma 90.49
loop_
_atom_site_label
_atom_site_type_symbol
_atom_site_fract_x
_atom_site_fract_y
_atom_site_fract_z
Hf1 Hf 0.069 0.285 0.147
Hf2 Hf 0.239 0.835 0.486
Hf3 Hf 0.401 0.368 0.759
Ru1 Ru 0.500 0.000 0.000
O1 O 0.000 0.500 0.500